# 1
The following is a DFT calculation (PBE) of a relaxed structure of LuClO.

The structure in POSCAR format:
```
LuClO
1.0
-3.273 -0.123 -1.364
0.841 -2.038 2.780
-1.638 4.172 3.554
Lu O Cl
1 1 1
Direct
0.667 0.333 0.404 Lu
0.333 0.667 0.510 O
0.000 0.000 0.086 Cl
```

- Formation energy without anion corrections: -2.9716 eV per atom
- Density of states at the Fermi level: 0.00 states/eV/f.u.


# 2
The following is a DFT calculation (PBE) of a relaxed structure of Ac2Ge4Pd3Ru.

The structure in POSCAR format:
```
Ac2Ge4Pd3Ru
1.0
4.381 0.000 0.000
0.000 4.381 0.000
0.000 0.000 10.610
Ac Ge Pd Ru
2 4 3 1
Direct
0.500 0.000 0.245 Ac
0.000 0.500 0.755 Ac
0.500 0.500 0.000 Ge
0.000 0.000 0.000 Ge
0.500 0.000 0.623 Ge
0.000 0.500 0.377 Ge
0.000 0.000 0.500 Pd
0.500 0.000 0.867 Pd
0.000 0.500 0.133 Pd
0.500 0.500 0.500 Ru
```

- Formation energy from the elements: -7.61 eV per formula unit
- Density of states at the Fermi level: 4.86 states/eV/f.u.


# 3
The following is a DFT calculation (PBE) of a relaxed structure of YTa4.

The structure in POSCAR format:
```
YTa4
1.0
1.372 -12.300 -1.682
3.605 -11.843 1.654
-4.122 11.733 1.154
Y Ta
1 4
Direct
0.000 0.000 0.000 Y
0.609 0.609 0.000 Ta
0.203 0.203 0.000 Ta
0.797 0.797 0.000 Ta
0.391 0.391 0.000 Ta
```

- Formation energy from the elements: 1.74 eV per formula unit
- Density of states at the Fermi level: 6.32 states/eV/f.u.
- Energy above the lowest structure with this stoichiometry: 0.000 eV/f.u.


# 4
The following is a DFT calculation (PBE) of a relaxed structure of La5Ga2Hg2.

The structure in POSCAR format:
```
La5Ga2Hg2
1.0
-4.482 5.193 -4.064
2.804 -3.039 -6.976
-7.826 -4.123 3.363
La Ga Hg
10 4 4
Direct
0.000 0.000 0.000 La
0.500 0.500 0.000 La
0.824 0.820 0.267 La
0.176 0.448 0.267 La
0.324 0.948 0.267 La
0.676 0.320 0.267 La
0.176 0.180 0.733 La
0.824 0.552 0.733 La
0.676 0.052 0.733 La
0.324 0.680 0.733 La
0.615 0.886 0.000 Ga
0.385 0.114 0.000 Ga
0.115 0.614 0.000 Ga
0.885 0.386 0.000 Ga
0.000 0.217 0.434 Hg
0.500 0.717 0.434 Hg
0.000 0.783 0.566 Hg
0.500 0.283 0.566 Hg
```

- Formation energy from the elements: -4.27 eV per formula unit
- Density of states at the Fermi level: 10.23 states/eV/f.u.